(P)
DFT (PBE) results for an optimized crystal structure of YGaRe.

Calculated values
* space-group type: F-43m
* calculated volume: 63.1 Å³ per cell
* total moment: 0.117 μB per atom

Cell: 4.469 4.469 4.469 Å, 60.00 60.00 60.00°
Positions (direct):
Y 0.000 0.000 0.000
Ga 0.750 0.750 0.750
Re 0.500 0.500 0.500

=====

(Q)
DFT (PBE) results for an optimized crystal structure of YGaRe.

Calculated values
* space-group type: F-43m
* calculated volume: 72.1 Å³ per cell
* total moment: 0.333 μB per atom

Cell: 4.673 4.673 4.673 Å, 60.00 60.00 60.00°
Positions (direct):
Y 0.000 0.000 0.000
Ga 0.750 0.750 0.750
Re 0.250 0.250 0.250

=====

Which structure is most stable, and how do the rest compare? From most to least stable: (P), (Q).